Entry from the Alexandria database: a PBEsol-optimized structure of SbHO2 (SCAN).

Cell: 3.724 3.724 3.724 Å, 60.00 60.00 60.00°
Positions (direct):
Sb (0.000, 0.000, 0.000)
H (0.500, 0.500, 0.500)
O (0.250, 0.250, 0.250)
O (0.750, 0.750, 0.750)

Computed properties:
* total energy: -13.41 eV/atom